Record 1
First-principles (SCAN) data for a PBEsol-optimized structure of MgCSe2, as listed in Alexandria via LeMat-Bulk.

Lattice parameters (Å, degrees): 4.0089 4.0089 6.8514 72.99 72.99 60.00
Positions (direct):
Mg 0.5000 0.5000 0.5000
C 0.0000 0.0000 0.0000
Se 0.9089 0.9089 0.2732
Se 0.0911 0.0911 0.7268

Values from the calculation:
Excess energy over the best structure of this formula in the dataset in meV/atom: 0
Raw formation energy in eV per atom: 0.49

=====

Record 2
First-principles (SCAN) data for a PBEsol-optimized structure of LaZrSi3, as listed in Alexandria via LeMat-Bulk.

Lattice parameters (Å, degrees): 5.0850 5.0850 5.0850 90.00 90.00 90.00
Positions (direct):
Si 0.0000 0.5000 0.0000
Si 0.0000 0.0000 0.5000
Si 0.5000 0.0000 0.0000
Zr 0.5000 0.5000 0.5000
La 0.0000 0.0000 0.0000

Values from the calculation:
Raw formation energy in eV per atom: 1.46

=====

Record 3
First-principles (SCAN) data for a PBEsol-optimized structure of CaTaOs2, as listed in Alexandria via LeMat-Bulk.

Lattice parameters (Å, degrees): 3.1669 3.1669 6.9333 90.00 90.00 90.00
Positions (direct):
Ca 0.5000 0.5000 0.5000
Os 0.0000 0.0000 0.7869
Os 0.0000 0.0000 0.2131
Ta 0.5000 0.5000 0.0000

Values from the calculation:
Excess energy over the best structure of this formula in the dataset in meV/atom: 0
Formation energy from the elements in eV/atom: -0.09

=====

Record 4
First-principles (SCAN) data for a PBEsol-optimized structure of BaCaFe2, as listed in Alexandria via LeMat-Bulk.

Lattice parameters (Å, degrees): 4.9592 4.9592 4.9751 119.89 119.89 90.00
Last column: magnetic moment on the atom in μB.
Positions (direct):
Ca 0.2500 0.7500 0.5000  -0.03
Ba 0.5000 0.5000 0.0000  -0.01
Fe 0.0000 0.0000 0.0000  3.15
Fe 0.7500 0.2500 0.5000  3.13

Values from the calculation:
Excess energy over the best structure of this formula in the dataset in meV/atom: 75
Formation energy from the elements in eV/atom: 0.86

=====

Record 5
First-principles (SCAN) data for a PBEsol-optimized structure of Hg2AsW, as listed in Alexandria via LeMat-Bulk.

Lattice parameters (Å, degrees): 2.9386 5.1247 5.7528 112.77 98.83 103.22
Positions (direct):
As 0.0000 0.5000 0.0000
Hg 0.0000 0.0000 0.5000
Hg 0.5000 0.5000 0.5000
W 0.5000 0.0000 0.0000

Values from the calculation:
Formation energy from the elements in eV/atom: 0.90

=====

Record 6
First-principles (SCAN) data for a PBEsol-optimized structure of Bi2Te2WO10, as listed in Alexandria via LeMat-Bulk.

Lattice parameters (Å, degrees): 5.5602 6.7984 12.2021 91.03 90.00 114.14
Positions (direct):
Bi 0.6587 0.8125 0.4521
Bi 0.1538 0.8125 0.9521
Bi 0.8462 0.1875 0.0479
Bi 0.3413 0.1875 0.5479
Te 0.9261 0.3902 0.3578
Te 0.0739 0.6098 0.6422
Te 0.4641 0.3902 0.8578
Te 0.5359 0.6098 0.1422
W 0.8113 0.0000 0.7500
W 0.1887 0.0000 0.2500
O 0.5278 0.8465 0.0612
O 0.3188 0.8465 0.5612
O 0.0932 0.9933 0.1006
O 0.0155 0.2360 0.2439
O 0.2251 0.4419 0.4527
O 0.9845 0.7640 0.7561
O 0.9068 0.0067 0.8994
O 0.9001 0.9933 0.6006
O 0.7749 0.5581 0.5473
O 0.2205 0.2360 0.7439
O 0.7189 0.2238 0.7392
O 0.2811 0.7762 0.2608
O 0.4722 0.1535 0.9388
O 0.2169 0.4419 0.9527
O 0.7795 0.7640 0.2561
O 0.4951 0.7762 0.7608
O 0.7831 0.5581 0.0473
O 0.0999 0.0067 0.3994
O 0.6812 0.1535 0.4388
O 0.5049 0.2238 0.2392

Values from the calculation:
Raw formation energy in eV per atom: -1.49

=====

no.,total DFT energy (no corrections) (hartree per atom)
1,-0.489
2,-0.710
3,-2.025
4,-0.754
5,-2.045
6,-0.946